# 1
Entry from the Alexandria database: AgBi2I after structural relaxation (PBE-GGA).

Unit cell a=12.6874 b=12.6874 c=12.6874 alpha=159.11 beta=159.11 gamma=29.71
Atoms (fractional coordinates):
1 Ag 0.0000 0.0000 0.0000
2 Ag 0.7500 0.2500 0.5000
3 Bi 0.0878 0.6250 0.9628
4 Bi 0.3750 0.3378 0.4628
5 Bi 0.6622 0.1250 0.0372
6 Bi 0.8750 0.9122 0.5372
7 I 0.2500 0.7500 0.5000
8 I 0.5000 0.5000 0.0000

* polymorph energy (0 for the lowest one): 143 meV/atom
* E_form (uncorrected): 163 meV/atom
* ρ: 8351 kg/m3
* symmetry: I-42d, No. 122

=====

# 2
Entry from the Alexandria database: Ca3BiAs2Rh9 after structural relaxation (PBE-GGA).

Unit cell a=6.3051 b=6.3051 c=9.3895 alpha=90.00 beta=90.00 gamma=120.00
Atoms (fractional coordinates):
1 Ca 0.0000 0.0000 0.0000
2 Ca 0.3333 0.6667 0.7268
3 Ca 0.6667 0.3333 0.2732
4 Bi 0.0000 0.0000 0.5000
5 As 0.3333 0.6667 0.1658
6 As 0.6667 0.3333 0.8342
7 Rh 0.0000 0.5000 0.0000
8 Rh 0.1407 0.2815 0.2630
9 Rh 0.1407 0.8592 0.2630
10 Rh 0.2815 0.1407 0.7370
11 Rh 0.5000 0.0000 0.0000
12 Rh 0.5000 0.5000 0.0000
13 Rh 0.7185 0.8592 0.2630
14 Rh 0.8592 0.1407 0.7370
15 Rh 0.8592 0.7185 0.7370

* DFT formation energy: -0.21 eV per atom
* ρ: 7218 kg/m3
* symmetry: P-3m1, No. 164

=====

# 3
Entry from the Alexandria database: HfNpRu2 after structural relaxation (PBE-GGA).

Unit cell a=3.2145 b=3.2145 c=6.9813 alpha=90.00 beta=90.00 gamma=90.00
Atoms (fractional coordinates):
1 Hf 0.0000 0.0000 0.0000
2 Np 0.0000 0.0000 0.5000
3 Ru 0.5000 0.5000 0.2342
4 Ru 0.5000 0.5000 0.7658

* DFT formation energy: -0.34 eV per atom
* ρ: 14217 kg/m3
* symmetry: P4/mmm, No. 123

=====

# 4
Entry from the Alexandria database: CuRe3F after structural relaxation (PBE-GGA).

Unit cell a=4.1654 b=4.1654 c=4.1654 alpha=90.00 beta=90.00 gamma=90.00
Atoms (fractional coordinates):
1 Cu 0.0000 0.0000 0.0000
2 Re 0.0000 0.5000 0.5000
3 Re 0.5000 0.0000 0.5000
4 Re 0.5000 0.5000 0.0000
5 F 0.5000 0.5000 0.5000

* polymorph energy (0 for the lowest one): 0 meV/atom
* E_form (uncorrected): 1509 meV/atom
* ρ: 14731 kg/m3
* symmetry: Pm-3m, No. 221